Here is an optimized crystal structure of RbTl2S2 from the Alexandria database. Energies are from PBE-GGA.

Output
For the energy relative to the elements, uncorrected, the calculation gives -428.0 meV/atom. The total magnetization is 0.0 μB per formula unit. The calculation puts the energy above the most stable polymorph in this dataset at 0.101 eV/atom. The value obtained for the total energy is -3.22 eV/atom.

Cell and atoms, written as extended XYZ:
```
5
Lattice="-3.1118 -0.7467 -3.4026 2.1269 -4.0206 -1.0627 -4.5660 -5.7165 2.2241" Properties=species:S:1:pos:R:3 pbc="T T T"
Tl -4.0851 -4.4234 -1.7056
S -4.4287 -7.5849 -0.6976
Rb 0.0000 0.0000 0.0000
S -1.1222 -2.8989 -1.5437
Tl -1.4658 -6.0604 -0.5357
```